Computed, not measured: an optimized crystal structure of BaFeCoPbO5 at the GGA+U level of DFT.

Summary:
D(E_F)	0.239	states/eV per atom
E	-6.09	eV/atom

Lattice parameters (Å, degrees): 5.8346 4.0106 21.4067 90.00 90.00 90.00
Last column: nearest neighbours and their distance in Å.
Space group Pnma (No. 62)
Unique sites:
Ba 0.0006 0.2500 0.1873  11 O 2.82-3.02
Fe 0.0032 0.2500 0.9453  5 O 1.91-2.03
Co 0.9998 0.2500 0.6868  6 O 1.98-2.18
Pb 0.0007 0.2500 0.4270  1 O 2.28
O 0.0007 0.2500 0.3204  2 Co 2.01
O 0.0147 0.7500 0.9603  3 Fe 2.02-2.03
O 0.2360 0.7500 0.3896  1 Fe 1.93, 1 Co 2.14
O 0.2447 0.2500 0.6097  1 Fe 1.91
O 0.2480 0.2500 0.7496  2 Co 1.98-2.00